The following is a GGA+U calculation of crystalline TbCrO4 at its relaxed geometry, from Alexandria.

Cell: 6.742 6.742 6.742 Å, 135.81 135.81 64.28°
Element x y z (fractional)
Tb 0.250 0.750 0.500
Tb 0.500 0.500 0.000
Cr 0.750 0.250 0.500
Cr 0.000 0.000 0.000
O 0.569 0.471 0.385
O 0.085 0.184 0.615
O 0.934 0.819 0.598
O 0.221 0.335 0.402
O 0.181 0.779 0.115
O 0.665 0.066 0.885
O 0.816 0.431 0.902
O 0.529 0.915 0.098

DFT total energy = -7.635 eV per atom
symmetry = No. 88